# PmBIr, relaxed, DFT PBE
# relative energy among the computed polymorphs = 0.992 eV per atom
data_PmBIr
_symmetry_space_group_name_H-M 'F -4 3 m'
_symmetry_Int_Tables_number 216
_symmetry_space_group_name_Hall 'F -4 2 3'
_cell_length_a 6.386
_cell_length_b 6.386
_cell_length_c 6.386
_cell_angle_alpha 90.00
_cell_angle_beta 90.00
_cell_angle_gamma 90.00
loop_
_atom_site_label
_atom_site_type_symbol
_atom_site_fract_x
_atom_site_fract_y
_atom_site_fract_z
Pm1 Pm 0.000 0.000 0.000
B1 B 0.250 0.250 0.750
Ir1 Ir 0.250 0.250 0.250